# 1
DFT (GGA-PBE) results for a relaxed structure of Cr2CdSe.

Results
energy relative to the elements, uncorrected: 230 meV per atom
DOS(E_F): 8.28 states/eV per cell
M_tot: 0.000 μB per atom

Lattice parameters (Å, degrees): 2.9913 2.9913 26.0033 90.00 90.00 120.00
With the nearest neighbours (Å) after each atom.
Space group R3m (No. 160, hexagonal axes)
Inequivalent atoms, fractional coordinates:
Cr 0.0000 0.0000 0.0000 x3  3 Cr 2.31, 3 Se 2.50
Cr 0.0000 0.0000 0.2743 x3  3 Cr 2.31
Cd 0.0000 0.0000 0.5166 x3  3 Cr 2.93, 6 Cd 2.99
Se 0.0000 0.0000 0.7360 x3  3 Cr 2.50

=====

# 2
DFT (GGA-PBE) results for a relaxed structure of CaLaY2.

Results
energy relative to the elements: 0.080 eV/atom
DOS(E_F): 6.81 states/eV per cell
M_tot: 0.000 μB per atom

Lattice parameters (Å, degrees): 3.6645 5.1687 7.4944 90.00 90.00 90.00
With the nearest neighbours (Å) after each atom.
Space group Pmm2 (No. 25)
Inequivalent atoms, fractional coordinates:
Ca 0.0000 0.0000 0.0000 x1  2 Ca 3.66, 6 Y 3.68-3.82, 4 La 3.77
La 0.5000 0.5000 0.7277 x1  5 Y 3.48-3.63, 2 La 3.66, 4 Ca 3.77
Y 0.0000 0.0000 0.4908 x1  6 Y 3.60-3.66, 4 La 3.63, 2 Ca 3.68-3.82
Y 0.5000 0.5000 0.2630 x1  1 La 3.48, 6 Y 3.60-3.66, 4 Ca 3.73